Model 1:
Here is crystalline ZrPt3Se at its relaxed geometry from Alexandria via LeMat-Bulk. Energies are from GGA-PBE.

Structure (extended XYZ):
```
5
Lattice="-3.242 -2.893 -1.757 3.230 -3.371 -0.412 -1.009 -1.496 4.326" Properties=species:S:1:pos:R:3 pbc="T T T"
Se 0.000 0.000 0.000
Zr -0.511 -3.880 1.078
Pt 1.615 -1.685 -0.206
Pt -0.505 -0.748 2.163
Pt -1.621 -1.446 -0.878
```

Results
calculated volume: 20.6 Å³/atom
SG: Pm-3m (221)

Model 2:
Here is crystalline ZrPt3Se at its relaxed geometry from Alexandria via LeMat-Bulk. Energies are from GGA-PBE.

Structure (extended XYZ):
```
5
Lattice="-4.863 -0.059 -1.049 0.752 -3.664 -3.280 -0.734 -3.365 3.591" Properties=species:S:1:pos:R:3 pbc="T T T"
Se -2.423 -3.544 -0.369
Zr 0.000 0.000 0.000
Pt 0.376 -1.832 -1.640
Pt -0.367 -1.682 1.795
Pt -2.431 -0.029 -0.525
```

Results
calculated volume: 24.6 Å³/atom
SG: Pm-3m (221)

Stability, lowest: model 2

Model 1:
Here is crystalline ZrPtSe3 at its relaxed geometry from Alexandria via LeMat-Bulk. Energies are from GGA-PBE.

Structure (extended XYZ):
```
5
Lattice="4.902 0.000 0.000 0.000 4.902 0.000 0.000 0.000 4.902" Properties=species:S:1:pos:R:3 pbc="T T T"
Se 0.000 2.451 0.000
Se 0.000 0.000 2.451
Se 2.451 0.000 0.000
Zr 2.451 2.451 2.451
Pt 0.000 0.000 0.000
```

Results
calculated volume: 23.6 Å³/atom
SG: Pm-3m (221)

Model 2:
Here is crystalline ZrPtSe3 at its relaxed geometry from Alexandria via LeMat-Bulk. Energies are from GGA-PBE.

Structure (extended XYZ):
```
5
Lattice="5.157 0.000 0.000 0.000 5.157 0.000 0.000 0.000 5.157" Properties=species:S:1:pos:R:3 pbc="T T T"
Se 0.000 2.578 0.000
Se 0.000 0.000 2.578
Se 2.578 0.000 0.000
Zr 0.000 0.000 0.000
Pt 2.578 2.578 2.578
```

Results
calculated volume: 27.4 Å³/atom
SG: Pm-3m (221)

Stability, lowest: model 2

Model 1:
Here is crystalline Si3Pt4 at its relaxed geometry from Alexandria via LeMat-Bulk. Energies are from GGA-PBE.

Structure (extended XYZ):
```
7
Lattice="-1.668 1.668 9.369 1.668 -1.668 9.369 1.668 1.668 -9.369" Properties=species:S:1:pos:R:3 pbc="T T T"
Si 0.000 0.000 0.000
Si 0.000 0.000 13.205
Si 0.000 0.000 5.532
Pt 0.000 0.000 15.633
Pt 0.000 0.000 3.104
Pt 0.000 0.000 10.695
Pt 0.000 0.000 8.043
```

Results
calculated volume: 14.9 Å³/atom
SG: I4/mmm (139)

Model 2:
Here is crystalline Si3Pt4 at its relaxed geometry from Alexandria via LeMat-Bulk. Energies are from GGA-PBE.

Structure (extended XYZ):
```
7
Lattice="-4.024 2.029 1.713 2.021 -3.698 2.342 2.864 3.329 2.785" Properties=species:S:1:pos:R:3 pbc="T T T"
Si 1.010 -1.849 1.171
Si -1.002 -0.835 2.028
Si -2.012 1.014 0.856
Pt 0.727 0.845 0.707
Pt 2.137 2.484 2.079
Pt -0.578 1.784 3.315
Pt 1.437 -0.125 3.525
```

Results
calculated volume: 15.0 Å³/atom
SG: P6/mmm (191)

Stability, lowest: model 2

Model 1:
Here is crystalline SiPt5 at its relaxed geometry from Alexandria via LeMat-Bulk. Energies are from GGA-PBE.

Structure (extended XYZ):
```
6
Lattice="-3.963 2.424 2.147 -5.063 0.739 0.124 -3.057 -3.965 4.965" Properties=species:S:1:pos:R:3 pbc="T T T"
Pt -8.609 2.844 2.310
Pt -3.947 -0.575 2.624
Pt -8.312 -0.830 5.210
Pt -6.299 1.220 2.408
Pt -10.621 0.792 5.113
Si -5.475 -2.559 5.108
```

Results
calculated volume: 15.2 Å³/atom
SG: C2/m (12)

Model 2:
Here is crystalline SiPt5 at its relaxed geometry from Alexandria via LeMat-Bulk. Energies are from GGA-PBE.

Structure (extended XYZ):
```
6
Lattice="-2.142 0.263 1.894 -1.545 -1.912 -1.483 4.329 -8.175 6.030" Properties=species:S:1:pos:R:3 pbc="T T T"
Si -1.843 -0.825 0.205
Pt 3.740 -7.063 5.209
Pt 0.589 -1.113 0.821
Pt 1.078 -6.342 4.275
Pt -0.436 -3.483 2.166
Pt 2.165 -4.088 3.015
```

Results
calculated volume: 15.2 Å³/atom
SG: P4/mmm (123)

Stability, lowest: model 2

Model 1:
Here is crystalline SiPt5 at its relaxed geometry from Alexandria via LeMat-Bulk. Energies are from GGA-PBE.

Structure (extended XYZ):
```
6
Lattice="0.000 3.712 3.712 3.712 0.000 3.712 3.712 3.712 0.000" Properties=species:S:1:pos:R:3 pbc="T T T"
Si 0.000 0.000 0.000
Pt 1.856 1.856 1.856
Pt 4.638 4.638 4.638
Pt 2.786 2.786 4.638
Pt 4.638 2.786 2.786
Pt 2.786 4.638 2.786
```

Results
calculated volume: 17.1 Å³/atom
SG: F-43m (216)

Model 2:
Here is crystalline SiPt5 at its relaxed geometry from Alexandria via LeMat-Bulk. Energies are from GGA-PBE.

Structure (extended XYZ):
```
6
Lattice="4.049 0.000 0.000 0.000 3.893 0.000 0.000 -1.947 5.786" Properties=species:S:1:pos:R:3 pbc="T T T"
Si 0.000 0.000 0.000
Pt 2.025 1.947 3.875
Pt 0.000 1.947 1.784
Pt 2.025 1.947 0.000
Pt 0.000 0.000 4.002
Pt 2.025 0.000 1.912
```

Results
calculated volume: 15.2 Å³/atom
SG: Cmmm (65)

Stability, lowest: model 1

Model 1:
Here is crystalline Si3Pt5 at its relaxed geometry from Alexandria via LeMat-Bulk. Energies are from GGA-PBE.

Structure (extended XYZ):
```
16
Lattice="-5.236 -0.097 4.898 4.392 -5.628 -0.665 3.468 2.264 3.753" Properties=species:S:1:pos:R:3 pbc="T T T"
Si -2.416 0.505 4.009
Si 0.648 1.661 4.641
Si 3.621 -2.963 0.521
Si 0.553 -1.569 2.517
Si 2.072 -1.892 5.469
Si 4.239 -0.401 2.567
Pt 1.183 -3.784 1.189
Pt -0.292 -0.809 4.920
Pt -2.026 -1.941 3.043
Pt 2.917 -2.652 3.066
Pt -0.622 0.538 2.331
Pt -1.146 1.628 6.319
Pt 2.116 -1.034 0.749
Pt 0.264 -3.531 3.967
Pt 2.361 0.070 4.018
Pt 5.745 -2.330 2.339
```

Results
calculated volume: 15.6 Å³/atom
SG: P6_3/mcm (193)

Model 2:
Here is crystalline Si3Pt5 at its relaxed geometry from Alexandria via LeMat-Bulk. Energies are from GGA-PBE.

Structure (extended XYZ):
```
16
Lattice="7.279 0.252 -0.011 -4.371 5.252 -0.228 -1.453 -3.024 6.460" Properties=species:S:1:pos:R:3 pbc="T T T"
Si 2.494 4.212 -0.089
Si -0.723 -1.415 6.156
Si 0.821 -0.964 3.022
Si 0.100 2.678 3.009
Si -2.952 0.561 5.188
Si 4.183 1.012 1.173
Pt -2.487 2.047 3.271
Pt 3.209 -0.383 3.245
Pt 4.276 -1.624 5.522
Pt 1.906 -0.260 0.814
Pt 2.452 2.685 1.774
Pt -0.485 0.609 4.509
Pt 1.559 -1.070 5.506
Pt 0.084 3.755 0.764
Pt -0.652 0.657 1.671
Pt 2.180 2.088 4.464
```

Results
calculated volume: 15.6 Å³/atom
SG: P1 (1)

Stability, lowest: model 1